Entry from Alexandria via LeMat-Bulk: a relaxed Cs2NaThI6 crystal (PBE-GGA).

Properties
Raw formation energy = -1.26 eV per atom
V = 49.51 Å³ per atom

a = 8.888 Å, b = 12.559 Å, c = 8.870 Å
α = 90.00°, β = 90.00°, γ = 90.00°
Space group Pmmn (No. 59, origin choice 2)
Inequivalent atoms, fractional coordinates:
Cs (0.250, 0.004, 0.248) x4
Na (0.250, 0.750, 0.752) x2
Th (0.250, 0.250, 0.748) x2
I (0.001, 0.250, 0.997) x4
I (0.002, 0.250, 0.498) x4
I (0.250, 0.001, 0.750) x4